Compound: PrV2SiO8
Source: the Alexandria database
Functional: PBE+U
Structure: optimized geometry

Results
- mass density (g cm⁻³) = 4.0
- M_tot (μB per atom) = 0.083
- E (eV per cell) = -90.30

Geometry as CIF:
```
data_PrV2SiO8
_chemical_formula_sum 'Pr1 V2 Si1 O8'
_cell_length_a 5.6701
_cell_length_b 5.6701
_cell_length_c 5.9764
_cell_angle_alpha 90.00
_cell_angle_beta 90.00
_cell_angle_gamma 120.00
_space_group_name_H-M_alt 'P -3 m 1'
_space_group_IT_number 164
_space_group_name_Hall '-P 3 2"'
loop_
_atom_site_label
_atom_site_type_symbol
_atom_site_fract_x
_atom_site_fract_y
_atom_site_fract_z
Pr1 Pr 0.0000 0.0000 0.0000
V1 V 0.3333 0.6667 0.5941
Si1 Si 0.0000 0.0000 0.5000
O1 O 0.1505 0.3009 0.6816
O2 O 0.3333 0.6667 0.3207
```